1.
A plane-wave DFT calculation with PBE-GGA was carried out for crystalline LaAlGe2 at its relaxed geometry.

a = 4.230 Å, b = 4.215 Å, c = 12.800 Å
α = 60.26°, β = 80.84°, γ = 89.99°
Atoms (fractional coordinates):
La 0.186 0.080 0.916
La 0.939 0.340 0.409
Al 0.305 0.958 0.662
Al 0.569 0.709 0.162
Ge 0.402 0.651 0.533
Ge 0.643 0.425 0.019
Ge 0.477 0.998 0.303
Ge 0.744 0.778 0.790

## Properties
DOS at the Fermi energy: 4.8 states/eV per cell
E_tot: -4.868 eV/atom
Energy of formation: -0.391 eV per atom
Magnetization: 0.00 μB per cell

=====

2.
A plane-wave DFT calculation with PBE-GGA was carried out for crystalline LaAlGe2 at its relaxed geometry.

a = 4.281 Å, b = 4.537 Å, c = 4.537 Å
α = 90.00°, β = 90.00°, γ = 90.00°
Atoms (fractional coordinates):
Ge 0.000 0.000 0.500
Ge 0.000 0.500 0.000
Al 0.500 0.500 0.500
La 0.500 0.000 0.000

## Properties
DOS at the Fermi energy: 2.6 states/eV per cell
E_tot: -4.896 eV/atom
Energy of formation: -0.419 eV per atom
Magnetization: 0.00 μB per cell